No. 1
This record from Alexandria via LeMat-Bulk describes a crystal of CsAgTeO2 relaxed with PBEsol. The functional is SCAN.

Calculated values
Raw total energy = -115.80 eV/cell
Fermi-level density of states = 0.480 states/eV/atom
Magnetization = 0.48 Bohr magnetons per cell
Energy relative to the elements, uncorrected = 3.09 eV per formula unit

Unit cell a=4.1688 b=4.1688 c=7.5498 alpha=90.00 beta=90.00 gamma=90.00
Closest atoms and distances in Å follow each position.
Positions (direct):
1 Cs 0.0000 0.0000 0.0000  4 O 2.08
2 Te 0.5000 0.5000 0.5000  4 Ag 2.95
3 O 0.0000 0.5000 0.0000  2 Cs 2.08
4 O 0.5000 0.0000 0.0000  2 Cs 2.08
5 Ag 0.0000 0.0000 0.5000  4 Te 2.95

***

No. 2
This record from Alexandria via LeMat-Bulk describes a crystal of Mg2ZrTa relaxed with PBEsol. The functional is SCAN.

Calculated values
Raw total energy = -106.21 eV/cell
Fermi-level density of states = 0.906 states/eV/atom
Offset from the most stable computed form = 151 meV per atom
Magnetization = 0.00 Bohr magnetons per cell
Energy of formation from the pure elements = 0.256 eV/atom

Unit cell a=3.3210 b=4.6184 c=5.1895 alpha=90.00 beta=90.00 gamma=90.00
Closest atoms and distances in Å follow each position.
Positions (direct):
1 Mg 0.0000 0.0000 0.0000  4 Mg 2.84, 4 Ta 3.08
2 Mg 0.5000 0.5000 0.0000  4 Mg 2.84, 4 Zr 3.08
3 Ta 0.5000 0.0000 0.5000  4 Zr 2.84, 4 Mg 3.08
4 Zr 0.0000 0.5000 0.5000  4 Ta 2.84, 4 Mg 3.08

***

No. 3
This record from Alexandria via LeMat-Bulk describes a crystal of Zr3TaMn relaxed with PBEsol. The functional is SCAN.

Calculated values
Raw total energy = -172.27 eV/cell
Fermi-level density of states = 1.433 states/eV/atom
Magnetization = 3.75 Bohr magnetons per cell
Energy of formation from the pure elements = 0.932 eV/atom

Unit cell a=5.0258 b=5.0258 c=5.0258 alpha=90.00 beta=90.00 gamma=90.00
Closest atoms and distances in Å follow each position.
Positions (direct):
1 Mn 0.5000 0.5000 0.5000  12 Zr 3.55
2 Zr 0.0000 0.5000 0.0000  2 Ta 2.51
3 Zr 0.0000 0.0000 0.5000  2 Ta 2.51
4 Zr 0.5000 0.0000 0.0000  2 Ta 2.51
5 Ta 0.0000 0.0000 0.0000  6 Zr 2.51

***

No. 4
This record from Alexandria via LeMat-Bulk describes a crystal of YBe2Br relaxed with PBEsol. The functional is SCAN.

Calculated values
Raw total energy = -54.72 eV/cell
Fermi-level density of states = 0.551 states/eV/atom
Offset from the most stable computed form = 584 meV per atom
Magnetization = 0.00 Bohr magnetons per cell
Energy relative to the elements, uncorrected = 1.29 eV per formula unit

Unit cell a=3.9993 b=3.9993 c=4.3165 alpha=90.00 beta=90.00 gamma=90.00
Closest atoms and distances in Å follow each position.
Positions (direct):
1 Y 0.0000 0.0000 0.5000  4 Br 2.83, 8 Be 2.94
2 Be 0.0000 0.5000 0.0000  4 Be 2.83, 4 Br 2.94, 4 Y 2.94
3 Be 0.5000 0.0000 0.0000  4 Be 2.83, 4 Br 2.94, 4 Y 2.94
4 Br 0.5000 0.5000 0.5000  4 Y 2.83, 8 Be 2.94

***

No. 5
This record from Alexandria via LeMat-Bulk describes a crystal of LaCeB12 relaxed with PBEsol. The functional is SCAN.

Calculated values
Raw total energy = -185.28 eV/cell
Fermi-level density of states = 0.328 states/eV/atom
Offset from the most stable computed form = 0 meV per atom
Magnetization = 1.09 Bohr magnetons per cell
Energy of formation from the pure elements = -0.604 eV/atom

Unit cell a=4.1114 b=4.1114 c=8.2232 alpha=90.00 beta=90.00 gamma=90.00
Closest atoms and distances in Å follow each position.
Positions (direct):
1 B 0.1990 0.5000 0.2487  5 B 1.64-1.75
2 B 0.1990 0.5000 0.7513  5 B 1.64-1.75
3 B 0.5000 0.5000 0.3999  5 B 1.65-1.75
4 B 0.5000 0.5000 0.9011  5 B 1.63-1.75
5 B 0.5000 0.1990 0.2487  5 B 1.64-1.75
6 B 0.5000 0.1990 0.7513  5 B 1.64-1.75
7 B 0.5000 0.5000 0.0989  5 B 1.63-1.75
8 B 0.5000 0.5000 0.6001  5 B 1.65-1.75
9 B 0.5000 0.8010 0.2487  5 B 1.64-1.75
10 B 0.5000 0.8010 0.7513  5 B 1.64-1.75
11 B 0.8010 0.5000 0.2487  5 B 1.64-1.75
12 B 0.8010 0.5000 0.7513  5 B 1.64-1.75
13 Ce 0.0000 0.0000 0.0000  24 B 3.01-3.02
14 La 0.0000 0.0000 0.5000  24 B 3.02-3.03

***

No. 6
This record from Alexandria via LeMat-Bulk describes a crystal of Zn2CrCu relaxed with PBEsol. The functional is SCAN.

Calculated values
Raw total energy = -60.58 eV/cell
Fermi-level density of states = 0.480 states/eV/atom
Magnetization = 3.44 Bohr magnetons per cell
Energy of formation from the pure elements = 0.009 eV/atom

Unit cell a=4.1743 b=4.1743 c=4.1743 alpha=60.00 beta=60.00 gamma=60.00
Closest atoms and distances in Å follow each position.
Positions (direct):
1 Cr 0.5000 0.5000 0.5000  4 Cu 2.56, 4 Zn 2.56
2 Cu 0.2500 0.2500 0.2500  4 Zn 2.56, 4 Cr 2.56
3 Zn 0.0000 0.0000 0.0000  4 Zn 2.56, 4 Cu 2.56
4 Zn 0.7500 0.7500 0.7500  4 Cr 2.56, 4 Zn 2.56

***

No. 7
This record from Alexandria via LeMat-Bulk describes a crystal of AgAu2Br relaxed with PBEsol. The functional is SCAN.

Calculated values
Raw total energy = -188.82 eV/cell
Fermi-level density of states = 0.138 states/eV/atom
Offset from the most stable computed form = 0 meV per atom
Magnetization = 0.00 Bohr magnetons per cell
Energy relative to the elements, uncorrected = 0.33 eV per formula unit

Unit cell a=3.4228 b=3.4228 c=6.5778 alpha=90.00 beta=90.00 gamma=90.00
Closest atoms and distances in Å follow each position.
Positions (direct):
1 Au 0.0000 0.0000 0.0034  4 Au 2.76, 4 Ag 2.86
2 Au 0.5000 0.5000 0.2053  4 Au 2.76, 1 Ag 2.85
3 Br 0.0000 0.0000 0.5198  4 Ag 2.93, 5 Au 3.18
4 Ag 0.5000 0.5000 0.7715  5 Au 2.85-2.86, 4 Br 2.93

***

No. 8
This record from Alexandria via LeMat-Bulk describes a crystal of Cr2FeAg relaxed with PBEsol. The functional is SCAN.

Calculated values
Raw total energy = -84.02 eV/cell
Fermi-level density of states = 1.181 states/eV/atom
Offset from the most stable computed form = 268 meV per atom
Magnetization = 1.09 Bohr magnetons per cell
Energy of formation from the pure elements = 0.561 eV/atom

Unit cell a=2.5683 b=2.5683 c=8.7507 alpha=81.56 beta=81.56 gamma=60.00
Closest atoms and distances in Å follow each position.
Positions (direct):
1 Ag 0.2480 0.2480 0.2561  6 Ag 2.57, 3 Fe 2.77, 3 Cr 2.81
2 Cr 0.0067 0.0067 0.9799  9 Cr 2.57, 3 Ag 2.81
3 Cr 0.7543 0.7543 0.7371  3 Fe 2.34, 9 Cr 2.57
4 Fe 0.4910 0.4910 0.5269  3 Cr 2.34, 6 Fe 2.57

***

- What is the Fermi-level density of states in the sixth record?
  0.480 states/eV/atom